DFT (PBE) results for a geometry-optimized Ce2NdIr2 structure.

Mass density (g/cm³): 11.59
SG: Cmmm, No. 65
Energy relative to the elements (eV/atom): -0.24
Total moment (μB/atom): 0.00

Lattice parameters (Å, degrees): 4.547 4.547 5.888 90.00 90.00 107.85
Element x y z (fractional)
Ce  0.192  0.808  0.000
Ce  0.808  0.192  0.000
Nd  0.000  0.000  0.500
Ir  0.500  0.500  0.258
Ir  0.500  0.500  0.742